1.
A relaxed structure of EuTm2P, computed with GGA-PBE.

The total magnetization is 22.05 μB/cell. The total energy comes out at -6.726 eV/atom. Its formation energy is -2.3 eV/f.u.

It has space group R-3m (No. 166, hexagonal axes), with a = 3.7590 Å, b = 3.7590 Å, c = 30.6493 Å, α = 90.00°, β = 90.00° and γ = 120.00°. Symmetry generates all atoms from Eu at (0.0000, 0.0000, 0.0000), Tm at (0.0000, 0.0000, 0.1150) and P at (0.0000, 0.0000, 0.5000).

2.
A relaxed structure of EuUP2, computed with GGA-PBE.

The total magnetization is 26.77 μB/cell. The total energy comes out at -9.213 eV/atom. Its formation energy is -4.5 eV/f.u.

It has space group R-3m (No. 166, hexagonal axes), with a = 4.0328 Å, b = 4.0328 Å, c = 20.3033 Å, α = 90.00°, β = 90.00° and γ = 120.00°. Symmetry generates all atoms from Eu at (0.0000, 0.0000, 0.0000), U at (0.0000, 0.0000, 0.5000) and P at (0.0000, 0.0000, 0.2419).

3.
A relaxed structure of EuUP2, computed with GGA-PBE.

The total magnetization is 8.86 μB/cell. The total energy comes out at -8.957 eV/atom. Its formation energy is -3.4 eV/f.u.

It has space group P4/mmm (No. 123), with a = 3.4519 Å, b = 3.4519 Å, c = 7.0434 Å, α = 90.00°, β = 90.00° and γ = 90.00°. Symmetry generates all atoms from Eu at (0.0000, 0.0000, 0.0000), U at (0.0000, 0.0000, 0.5000) and P at (0.5000, 0.5000, 0.2741).

Please write out number 3 again, unchanged.
A relaxed structure of EuUP2, computed with GGA-PBE.

The total magnetization is 8.86 μB/cell. The total energy comes out at -8.957 eV/atom. Its formation energy is -3.4 eV/f.u.

It has space group P4/mmm (No. 123), with a = 3.4519 Å, b = 3.4519 Å, c = 7.0434 Å, α = 90.00°, β = 90.00° and γ = 90.00°. Symmetry generates all atoms from Eu at (0.0000, 0.0000, 0.0000), U at (0.0000, 0.0000, 0.5000) and P at (0.5000, 0.5000, 0.2741).

Question: Look up the total magnetization of the third one.
Answer: 8.86 μB/cell